[1]
DFT (PBE-GGA) results for a relaxed LaTlNi2 crystal.

Unit cell a=4.0531 b=4.0208 c=5.3134 alpha=67.74 beta=90.00 gamma=90.00
Sites, in units of the cell vectors:
La (0.5000, 0.7730, 0.8278)
Tl (0.0000, 0.4813, 0.4123)
Ni (0.0000, 0.1912, 0.9916)
Ni (0.5000, 0.0545, 0.2683)

Computed properties:
SG: Pm, No. 6
DFT total energy, eV/cell: -19.75
ΔH_f (0 K), meV per atom: -223
Fermi-level density of states, states/eV per cell: 1.9

***

[2]
DFT (PBE-GGA) results for a relaxed La2TlNi crystal.

Unit cell a=8.4012 b=5.2144 c=4.0449 alpha=89.97 beta=61.26 gamma=128.25
Sites, in units of the cell vectors:
La (0.5000, 0.0000, 0.5000)
La (0.0000, 0.0000, 0.0000)
Ni (0.0000, 0.5000, 0.5000)
Tl (0.5000, 0.5000, 0.0000)

Computed properties:
SG: Cmmm, No. 65
DFT total energy, eV/cell: -18.74
ΔH_f (0 K), meV per atom: -184
Fermi-level density of states, states/eV per cell: 3.9

***

[3]
DFT (PBE-GGA) results for a relaxed La2TlNi crystal.

Unit cell a=6.0515 b=6.0515 c=6.0515 alpha=136.03 beta=136.03 gamma=63.94
Sites, in units of the cell vectors:
Ni (0.5000, 0.5000, 0.0000)
La (0.2500, 0.7500, 0.5000)
La (0.0000, 0.0000, 0.0000)
Tl (0.7500, 0.2500, 0.5000)

Computed properties:
SG: I-4m2, No. 119
DFT total energy, eV/cell: -18.43
ΔH_f (0 K), meV per atom: -107
Fermi-level density of states, states/eV per cell: 4.2

***

[4]
DFT (PBE-GGA) results for a relaxed La2YTlNi crystal.

Unit cell a=5.2802 b=5.2802 c=5.5048 alpha=90.00 beta=90.00 gamma=90.00
Sites, in units of the cell vectors:
La (0.0000, 0.5000, 0.0000)
La (0.5000, 0.0000, 0.0000)
Tl (0.5000, 0.5000, 0.5000)
Ni (0.0000, 0.0000, 0.0000)
Y (0.0000, 0.0000, 0.5000)

Computed properties:
SG: P4/mmm, No. 123
DFT total energy, eV/cell: -25.57
ΔH_f (0 K), meV per atom: -221
Fermi-level density of states, states/eV per cell: 6.4

***

[5]
DFT (PBE-GGA) results for a relaxed LaYTlNi crystal.

Unit cell a=5.2657 b=5.2657 c=5.2657 alpha=60.00 beta=60.00 gamma=60.00
Sites, in units of the cell vectors:
La (0.0000, 0.0000, 0.0000)
Ni (0.2500, 0.2500, 0.2500)
Tl (0.7500, 0.7500, 0.7500)
Y (0.5000, 0.5000, 0.5000)

Computed properties:
SG: F-43m, No. 216
DFT total energy, eV/cell: -20.39
ΔH_f (0 K), meV per atom: -212
Fermi-level density of states, states/eV per cell: 4.5

***

[6]
DFT (PBE-GGA) results for a relaxed LaTlZn2Ni crystal.

Unit cell a=4.6848 b=4.6848 c=4.9054 alpha=90.00 beta=90.00 gamma=90.00
Sites, in units of the cell vectors:
Ni (0.0000, 0.0000, 0.0000)
Zn (0.5000, 0.0000, 0.0000)
Zn (0.0000, 0.5000, 0.0000)
Tl (0.0000, 0.0000, 0.5000)
La (0.5000, 0.5000, 0.5000)

Computed properties:
SG: P4/mmm, No. 123
DFT total energy, eV/cell: -16.51
ΔH_f (0 K), meV per atom: -178
Fermi-level density of states, states/eV per cell: 1.7

***

[7]
DFT (PBE-GGA) results for a relaxed LaTlZn2Ni crystal.

Unit cell a=4.8324 b=4.8324 c=5.0137 alpha=90.00 beta=90.00 gamma=90.00
Sites, in units of the cell vectors:
La (0.0000, 0.0000, 0.5000)
Zn (0.0000, 0.5000, 0.0000)
Zn (0.5000, 0.0000, 0.0000)
Tl (0.5000, 0.5000, 0.5000)
Ni (0.0000, 0.0000, 0.0000)

Computed properties:
SG: P4/mmm, No. 123
DFT total energy, eV/cell: -16.44
ΔH_f (0 K), meV per atom: -164
Fermi-level density of states, states/eV per cell: 4.9

***

[8]
DFT (PBE-GGA) results for a relaxed LaTm5Ni2 crystal.

Unit cell a=3.6081 b=6.6940 c=18.1516 alpha=90.00 beta=90.00 gamma=105.63
Sites, in units of the cell vectors:
Tm (0.9360, 0.8719, 0.9080)
Tm (0.6679, 0.3358, 0.5539)
Tm (0.6009, 0.2019, 0.2500)
Tm (0.0640, 0.1281, 0.4080)
Tm (0.0640, 0.1281, 0.0920)
Tm (0.3991, 0.7981, 0.7500)
Tm (0.6679, 0.3358, 0.9461)
Tm (0.3321, 0.6642, 0.0539)
Tm (0.3321, 0.6642, 0.4461)
Tm (0.9360, 0.8719, 0.5920)
Ni (0.7210, 0.4419, 0.3694)
Ni (0.2790, 0.5581, 0.6306)
Ni (0.7210, 0.4419, 0.1306)
Ni (0.2790, 0.5581, 0.8694)
La (0.3342, 0.6685, 0.2500)
La (0.6658, 0.3315, 0.7500)

Computed properties:
SG: Cmcm, No. 63
DFT total energy, eV/cell: -80.35
ΔH_f (0 K), meV per atom: -166
Fermi-level density of states, states/eV per cell: 23.1